Entry from Alexandria: an optimized crystal structure of CsTe2O2 (PBE).

abc: 5.916 5.916 5.916
angles: 131.63 131.63 70.82
Fractional positions:
Cs 0.000 0.000 0.000
Te 0.356 0.356 0.000
Te 0.644 0.644 0.000
O 0.250 0.750 0.500
O 0.750 0.250 0.500

Values from the calculation:
D(E_F) (states/eV/f.u.): 5.4
Symmetry: I4/mmm (139)
Formation energy without anion corrections (eV per atom): -0.114

=====

Entry from Alexandria: an optimized crystal structure of PuTc5 (PBE).

abc: 7.106 7.106 3.132
angles: 90.00 90.00 143.21
Fractional positions:
Pu 0.000 0.000 0.000
Tc 0.162 0.838 0.500
Tc 0.320 0.680 0.000
Tc 0.500 0.500 0.500
Tc 0.680 0.320 0.000
Tc 0.838 0.162 0.500

Values from the calculation:
D(E_F) (states/eV/f.u.): 7.9
Symmetry: Cmmm (65)
ΔE_f (eV/atom): 0.18

=====

Entry from Alexandria: an optimized crystal structure of AcNd5Y2Tm (PBE).

abc: 12.624 12.624 9.470
angles: 90.00 90.00 154.44
Fractional positions:
Ac 0.102 0.898 0.500
Ac 0.898 0.102 0.000
Nd 0.024 0.976 0.175
Nd 0.107 0.893 0.899
Nd 0.192 0.808 0.206
Nd 0.241 0.759 0.563
Nd 0.489 0.511 0.392
Nd 0.511 0.489 0.892
Nd 0.759 0.241 0.063
Nd 0.808 0.192 0.706
Nd 0.893 0.107 0.399
Nd 0.976 0.024 0.675
Y 0.327 0.673 0.249
Y 0.388 0.612 0.650
Y 0.612 0.388 0.150
Y 0.673 0.327 0.749
Tm 0.261 0.739 0.891
Tm 0.739 0.261 0.391

Values from the calculation:
D(E_F) (states/eV/f.u.): 11.8
Symmetry: Cmc2_1 (36)
ΔE_f (eV/atom): 0.14

=====

Entry from Alexandria: an optimized crystal structure of Ga23N5O27 (PBE).

abc: 5.918 5.925 19.596
angles: 81.88 82.32 60.54
Fractional positions:
Ga 0.000 0.000 0.000
Ga 0.003 0.016 0.395
Ga 0.005 0.526 0.398
Ga 0.015 0.531 0.900
Ga 0.026 0.065 0.810
Ga 0.136 0.150 0.528
Ga 0.244 0.235 0.241
Ga 0.261 0.271 0.646
Ga 0.267 0.778 0.649
Ga 0.269 0.768 0.150
Ga 0.292 0.301 0.058
Ga 0.401 0.396 0.777
Ga 0.479 0.491 0.492
Ga 0.504 0.555 0.303
Ga 0.506 0.019 0.398
Ga 0.530 0.023 0.898
Ga 0.532 0.524 0.898
Ga 0.660 0.665 0.032
Ga 0.738 0.744 0.748
Ga 0.768 0.277 0.649
Ga 0.769 0.270 0.152
Ga 0.775 0.792 0.561
Ga 0.887 0.857 0.268
N 0.147 0.725 0.339
N 0.419 0.968 0.590
N 0.671 0.230 0.842
N 0.707 0.712 0.846
N 0.955 0.434 0.590
O 0.073 0.069 0.212
O 0.074 0.083 0.711
O 0.091 0.583 0.211
O 0.109 0.575 0.711
O 0.189 0.204 0.344
O 0.207 0.225 0.839
O 0.209 0.700 0.840
O 0.306 0.855 0.460
O 0.311 0.325 0.460
O 0.326 0.347 0.957
O 0.358 0.830 0.961
O 0.443 0.948 0.087
O 0.447 0.459 0.591
O 0.466 0.467 0.088
O 0.568 0.573 0.208
O 0.568 0.579 0.711
O 0.569 0.111 0.709
O 0.599 0.086 0.216
O 0.683 0.199 0.344
O 0.684 0.714 0.340
O 0.809 0.837 0.458
O 0.826 0.361 0.964
O 0.831 0.833 0.965
O 0.844 0.321 0.458
O 0.941 0.449 0.088
O 0.949 0.962 0.590
O 0.962 0.966 0.095

Values from the calculation:
Symmetry: P1 (1)
Formation energy without anion corrections (eV per atom): -1.534

=====

Entry from Alexandria: an optimized crystal structure of AlIn2Sb (PBE).

abc: 3.187 3.187 10.158
angles: 90.00 90.00 102.41
Fractional positions:
Al 0.000 0.000 0.000
In 0.000 0.000 0.504
In 0.500 0.500 0.773
Sb 0.500 0.500 0.221

Values from the calculation:
D(E_F) (states/eV/f.u.): 1.4
Symmetry: Cmm2 (35)
Formation energy without anion corrections (eV per atom): 0.123

=====

Entry from Alexandria: an optimized crystal structure of Ba2LaRh (PBE).

abc: 4.334 4.334 11.093
angles: 101.15 101.15 59.95
Fractional positions:
Ba 0.000 0.000 0.000
Ba 0.211 0.211 0.637
La 0.434 0.434 0.304
Rh 0.728 0.728 0.185

Values from the calculation:
D(E_F) (states/eV/f.u.): 3.1
Symmetry: Cm (8)
ΔE_f (eV/atom): -0.29

=====

Entry from Alexandria: an optimized crystal structure of Tc2PtCl (PBE).

abc: 2.806 2.806 9.588
angles: 90.00 90.00 119.33
Fractional positions:
Tc 0.000 0.000 0.000
Tc 0.500 0.500 0.225
Pt 0.500 0.500 0.754
Cl 0.000 0.000 0.439

Values from the calculation:
D(E_F) (states/eV/f.u.): 5.0
Symmetry: Cmm2 (35)
Formation energy without anion corrections (eV per atom): 0.398

=====

Entry from Alexandria: an optimized crystal structure of AlSi3Ru4 (PBE).

abc: 6.590 6.590 6.590
angles: 143.14 143.14 53.12
Fractional positions:
Al 0.000 0.000 0.000
Si 0.247 0.247 0.000
Si 0.500 0.500 0.000
Si 0.753 0.753 0.000
Ru 0.128 0.628 0.500
Ru 0.372 0.872 0.500
Ru 0.628 0.128 0.500
Ru 0.872 0.372 0.500

Values from the calculation:
D(E_F) (states/eV/f.u.): 1.7
Symmetry: I4/mmm (139)
Formation energy without anion corrections (eV per atom): -0.698